Entry 1:
Below is a relaxed structure of Pm7Dy2Ho, with properties calculated at the GGA-PBE level.

Lattice parameters (Å, degrees): 3.5171 10.3201 10.3201 108.68 90.00 90.00
Positions (direct):
Pm 0.0000 0.6772 0.3228
Pm 0.0000 0.3228 0.6772
Pm 0.5000 0.1261 0.3834
Pm 0.5000 0.8739 0.6166
Pm 0.5000 0.3834 0.1261
Pm 0.5000 0.6166 0.8739
Pm 0.5000 0.5000 0.5000
Dy 0.5000 0.8328 0.1672
Dy 0.5000 0.1672 0.8328
Ho 0.0000 0.0000 0.0000

Computed properties:
As for the raw total energy: -4.31 eV/atom. For the energy relative to the lowest polymorph listed for this composition, the calculation gives 0.0000 eV per atom. Its formation energy from the elements is 0.390 eV per atom.

***

Entry 2:
Below is a relaxed structure of Cs2BeReCl6, with properties calculated at the GGA-PBE level.

Lattice parameters (Å, degrees): 7.3538 7.3538 7.5555 60.88 60.88 90.00
Site moments in Bohr magnetons follow the coordinates.
Positions (direct):
Cs 0.7500 0.2500 0.5000  0.00
Cs 0.2500 0.7500 0.5000  0.00
Re 0.0000 0.0000 0.0000  3.73
Be 0.5000 0.5000 0.0000  0.05
Cl 0.2141 0.2141 0.5718  0.06
Cl 0.7859 0.7859 0.4282  0.06
Cl 0.2906 0.2906 0.0000  0.05
Cl 0.7094 0.7094 0.0000  0.05
Cl 0.7094 0.2906 0.0000  0.05
Cl 0.2906 0.7094 0.0000  0.05

Computed properties:
As for the raw total energy: -3.85 eV/atom. Its formation energy from raw total energies is -957 meV/atom.

***

Entry 3:
Below is a relaxed structure of UGePd, with properties calculated at the GGA-PBE level.

Lattice parameters (Å, degrees): 3.7331 7.6650 7.6920 90.00 90.00 90.00
Site moments in Bohr magnetons follow the coordinates.
Positions (direct):
U 0.2500 0.3826 0.5092  1.08
U 0.7500 0.6174 0.4908  1.08
U 0.2500 0.1174 0.0092  1.08
U 0.7500 0.8826 0.9908  1.08
Ge 0.2500 0.6398 0.7961  -0.01
Ge 0.7500 0.3602 0.2039  -0.01
Ge 0.2500 0.8602 0.2961  -0.01
Ge 0.7500 0.1398 0.7039  -0.01
Pd 0.2500 0.5737 0.1295  0.01
Pd 0.7500 0.4263 0.8705  0.01
Pd 0.2500 0.9263 0.6295  0.01
Pd 0.7500 0.0737 0.3705  0.01

Computed properties:
As for the raw total energy: -7.52 eV/atom. Its formation energy from the elements is -0.491 eV per atom.

***

Entry 4:
Below is a relaxed structure of TaTi8Bi2, with properties calculated at the GGA-PBE level.

Lattice parameters (Å, degrees): 4.8118 7.4548 7.2133 120.80 109.48 90.00
Positions (direct):
Ta 0.5000 0.0000 0.0000
Ti 0.4208 0.5627 0.8416
Ti 0.6704 0.8844 0.3409
Ti 0.8733 0.8348 0.7466
Ti 0.9582 0.2589 0.9164
Ti 0.1267 0.1652 0.2534
Ti 0.3296 0.1156 0.6591
Ti 0.5792 0.4373 0.1584
Ti 0.0418 0.7411 0.0836
Bi 0.7775 0.3468 0.5551
Bi 0.2225 0.6532 0.4449

Computed properties:
As for the raw total energy: -7.60 eV/atom. Its formation energy from the elements is -0.079 eV per atom.